No. 1
Compound: Tm3GaCo
Source: the Alexandria database
Functional: PBE-GGA
Structure: relaxed

The density of states at the Fermi level is 3.43 states/eV/f.u. The density comes out at 9.30 g cm⁻³. As for the excess energy over the best structure of this formula in the dataset: 0.00 eV per formula unit. Its total energy is -5.061 eV/atom. The volume comes out at 22.701 A^3/atom.

Structure (POSCAR):
```
Tm3GaCo
1.0
-4.1749 -0.9142 -3.8634
-0.0785 -5.2598 -2.3492
-6.1759 -4.7068 3.1998
Co Ga Tm
2 2 6
Direct
0.6892 0.3108 0.0000
0.3108 0.6892 0.0000
0.2916 0.7084 0.5000
0.7084 0.2916 0.5000
0.3111 0.3111 0.8619
0.6889 0.6889 0.1381
0.0121 0.0121 0.7719
0.6996 0.6996 0.6690
0.3004 0.3004 0.3310
0.9879 0.9879 0.2281
```

=====

No. 2
Compound: U2PC
Source: the Alexandria database
Functional: PBE-GGA
Structure: relaxed

The density of states at the Fermi level is 5.94 states/eV/f.u. The density comes out at 12.03 g cm⁻³. As for the excess energy over the best structure of this formula in the dataset: 0.60 eV per formula unit. Its total energy is -9.643 eV/atom. The volume comes out at 17.918 A^3/atom.

Structure (POSCAR):
```
U2PC
1.0
3.6514 0.0000 0.0000
1.8257 3.1622 0.0000
1.8257 1.0541 6.2073
U C P
2 1 1
Direct
0.2356 0.2356 0.2933
0.0978 0.0978 0.7067
0.4977 0.4977 0.5069
0.6690 0.6690 0.9931
```